[1]
First-principles (GGA-PBE) data for crystalline NaGePb2O4 at its relaxed geometry, as listed in Alexandria.

## Properties
Formation energy (no corrections) ... -966 kJ/mol of formula units

Cell lengths 5.115, 5.115, 6.540 Å; angles 110.28, 110.28, 96.52 degrees
Fractional positions:
O (0.776, 0.388, 0.165)
O (0.615, 0.615, 0.798)
Na (0.012, 0.012, 0.024)
Ge (0.496, 0.496, 0.991)
O (0.388, 0.776, 0.165)
Pb (0.265, 0.765, 0.530)
Pb (0.765, 0.265, 0.530)
O (0.183, 0.183, 0.798)

---

[2]
First-principles (GGA-PBE) data for crystalline Zr2HgH2 at its relaxed geometry, as listed in Alexandria.

## Properties
VASP energy ... -5.217 eV/atom

Cell lengths 3.750, 3.750, 5.635 Å; angles 70.56, 70.56, 90.00 degrees
Fractional positions:
Zr (0.345, 0.345, 0.310)
Hg (0.000, 0.000, 0.000)
Zr (0.655, 0.655, 0.690)
H (0.750, 0.250, 0.500)
H (0.250, 0.750, 0.500)